(1)
15
Lattice="4.660 2.690 6.588 -4.660 2.690 6.588 0.000 -5.381 6.588" Properties=species:S:1:pos:R:3 comment="Na8MgPb6 (PBE, optimized geometry)" crystal_system=trigonal e_form_ev_per_atom=-0.083 total_energy_ry_per_atom=-0.17467 pbc="T T T"
Na -3.145 -0.039 7.479
Na 0.000 0.000 3.243
Na -1.539 -2.743 12.285
Na 1.606 -2.704 7.478
Na -1.606 2.704 12.285
Na 1.539 2.743 7.479
Na 0.000 0.000 16.520
Na 3.145 0.039 12.285
Mg 0.000 0.000 9.882
Pb -1.494 -2.594 9.056
Pb -2.993 -0.003 10.707
Pb -1.500 2.591 9.056
Pb 1.500 -2.591 10.707
Pb 2.993 0.003 9.056
Pb 1.494 2.594 10.707

=====

(2)
4
Lattice="0.000 3.543 3.543 3.543 0.000 3.543 3.543 3.543 0.000" Properties=species:S:1:pos:R:3 comment="LaPmIrRu (PBE, optimized geometry)" crystal_system=cubic e_form_ev_per_atom=-0.336 total_energy_ry_per_atom=-0.53577 pbc="T T T"
La 0.000 0.000 0.000
Pm 3.543 3.543 3.543
Ir 1.772 1.772 1.772
Ru 5.315 5.315 5.315

=====

The records above give, respectively, total moment values of 0.0, 0.0 μB per formula unit.